1.
The following is a GGA-PBE calculation of a geometry-optimized Rb2SrGeRh structure, from Alexandria.

It has space group P4/mmm (No. 123), with a = 7.228 Å, b = 7.228 Å, c = 5.486 Å, α = 90.00°, β = 90.00° and γ = 90.00°. Symmetry generates all atoms from Rb at (0.000, 0.500, 0.000), Sr at (0.000, 0.000, 0.000), Ge at (0.000, 0.000, 0.500) and Rh at (0.500, 0.500, 0.500).

The energy is -1.89 eV per atom. For the energy of formation, the calculation gives 1228 meV/atom.

***

2.
The following is a GGA-PBE calculation of a geometry-optimized RbGe2Te8Rh structure, from Alexandria.

It has space group R-3 (No. 148, hexagonal axes), with a = 6.3718 Å, b = 6.3718 Å, c = 37.7110 Å, α = 90.00°, β = 90.00° and γ = 120.00°. Symmetry generates all atoms from Rb at (0.0000, 0.0000, 0.0000), Ge at (0.0000, 0.0000, 0.2374), Te at (0.0000, 0.0000, 0.3041), Te at (0.0058, 0.4137, 0.7853) and Rh at (0.0000, 0.0000, 0.5000).

The energy is -3.70 eV per atom.

***

3.
The following is a GGA-PBE calculation of a geometry-optimized RbTlGeRh structure, from Alexandria.

It has space group P4/nmm (No. 129, origin choice 2), with a = 4.307 Å, b = 4.307 Å, c = 13.425 Å, α = 90.00°, β = 90.00° and γ = 90.00°. Symmetry generates all atoms from Rb at (0.250, 0.250, 0.235), Tl at (0.250, 0.750, 0.500), Ge at (0.250, 0.250, 0.911) and Rh at (0.250, 0.750, 0.000).

The energy is -4.08 eV per atom. For the energy of formation, the calculation gives -256 meV/atom.